The following is a DFT calculation (GGA-PBE) of crystalline Rb3YI6 at its relaxed geometry.

Geometry as CIF:
```
data_Rb3YI6
_chemical_formula_sum 'Rb6 Y2 I12'
_cell_length_a 8.704
_cell_length_b 9.327
_cell_length_c 14.960
_cell_angle_alpha 90.00
_cell_angle_beta 123.87
_cell_angle_gamma 90.00
_symmetry_space_group_name_H-M 'P 1 21/c 1'
_symmetry_Int_Tables_number 14
_symmetry_space_group_name_Hall '-P 2ybc'
loop_
_atom_site_label
_atom_site_fract_x
_atom_site_fract_y
_atom_site_fract_z
_atom_site_occupancy
Rb1 0.000 0.000 0.000 1
Rb2 0.208 0.083 0.742 1
Y1 0.500 0.000 0.500 1
I1 0.162 0.175 0.445 1
I2 0.264 0.727 0.424 1
I3 0.407 0.053 0.274 1
```

Computed properties:
density of states at the Fermi level = 0.00 states/eV/f.u.
relative energy among the computed polymorphs = 0 meV per atom
E_tot = -66.837 eV for the cell shown
uncorrected formation energy = -142.3 kJ per mole of atoms
magnetic moment = 0.00 μB per formula unit

***

The following is a DFT calculation (GGA-PBE) of crystalline Rb2YZrI6 at its relaxed geometry.

Geometry as CIF:
```
data_Rb2YZrI6
_chemical_formula_sum 'Rb8 Y4 Zr4 I24'
_cell_length_a 12.026
_cell_length_b 12.026
_cell_length_c 12.026
_cell_angle_alpha 90.00
_cell_angle_beta 90.00
_cell_angle_gamma 90.00
_symmetry_space_group_name_H-M 'F m -3 m'
_symmetry_Int_Tables_number 225
_symmetry_space_group_name_Hall '-F 4 2 3'
loop_
_atom_site_label
_atom_site_fract_x
_atom_site_fract_y
_atom_site_fract_z
_atom_site_occupancy
Rb1 0.250 0.250 0.250 1
Y1 0.000 0.000 0.000 1
Zr1 0.000 0.000 0.500 1
I1 0.000 0.000 0.252 1
```

Computed properties:
density of states at the Fermi level = 4.58 states/eV/f.u.
E_tot = -146.615 eV for the cell shown
uncorrected formation energy = -100.4 kJ per mole of atoms
magnetic moment = 2.84 μB per formula unit

***

The following is a DFT calculation (GGA-PBE) of crystalline RbYbI3 at its relaxed geometry.

Geometry as CIF:
```
data_RbYbI3
_chemical_formula_sum 'Rb4 Yb4 I12'
_cell_length_a 10.685
_cell_length_b 4.680
_cell_length_c 17.501
_cell_angle_alpha 90.00
_cell_angle_beta 90.00
_cell_angle_gamma 90.00
_symmetry_space_group_name_H-M 'P n m a'
_symmetry_Int_Tables_number 62
_symmetry_space_group_name_Hall '-P 2ac 2n'
loop_
_atom_site_label
_atom_site_fract_x
_atom_site_fract_y
_atom_site_fract_z
_atom_site_occupancy
Rb1 0.066 0.250 0.179 1
Yb1 0.167 0.750 0.447 1
I1 0.018 0.750 0.604 1
I2 0.166 0.750 0.012 1
I3 0.210 0.250 0.788 1
```

Computed properties:
E_tot = -59.156 eV for the cell shown
uncorrected formation energy = -147.5 kJ per mole of atoms
magnetic moment = 0.25 μB per formula unit

***

The following is a DFT calculation (GGA-PBE) of crystalline Rb4YbI6 at its relaxed geometry.

Geometry as CIF:
```
data_Rb4YbI6
_chemical_formula_sum 'Rb24 Yb6 I36'
_cell_length_a 14.4000
_cell_length_b 14.4000
_cell_length_c 17.7883
_cell_angle_alpha 90.00
_cell_angle_beta 90.00
_cell_angle_gamma 120.00
_symmetry_space_group_name_H-M 'R -3 c'
_symmetry_Int_Tables_number 167
_symmetry_space_group_name_Hall '-R 3 2"c'
loop_
_atom_site_label
_atom_site_fract_x
_atom_site_fract_y
_atom_site_fract_z
_atom_site_occupancy
Rb1 0.0000 0.0000 0.2500 1
Rb2 0.0000 0.3803 0.2500 1
Yb1 0.0000 0.0000 0.0000 1
I1 0.0331 0.1934 0.3971 1
```

Computed properties:
E_tot = -188.198 eV for the cell shown
uncorrected formation energy = -146.2 kJ per mole of atoms
magnetic moment = 0.25 μB per formula unit

***

The following is a DFT calculation (GGA-PBE) of crystalline RbZnI2 at its relaxed geometry.

Geometry as CIF:
```
data_RbZnI2
_chemical_formula_sum 'Rb3 Zn3 I6'
_cell_length_a 4.3905
_cell_length_b 4.3905
_cell_length_c 31.0573
_cell_angle_alpha 90.00
_cell_angle_beta 90.00
_cell_angle_gamma 120.00
_symmetry_space_group_name_H-M 'R -3 m'
_symmetry_Int_Tables_number 166
_symmetry_space_group_name_Hall '-R 3 2"'
loop_
_atom_site_label
_atom_site_fract_x
_atom_site_fract_y
_atom_site_fract_z
_atom_site_occupancy
Rb1 0.0000 0.0000 0.0000 1
Zn1 0.0000 0.0000 0.5000 1
I1 0.0000 0.0000 0.1141 1
```

Computed properties:
density of states at the Fermi level = 2.61 states/eV/f.u.
relative energy among the computed polymorphs = 304 meV per atom
E_tot = -20.689 eV for the cell shown
uncorrected formation energy = -37.5 kJ per mole of atoms
magnetic moment = 0.00 μB per formula unit

***

The following is a DFT calculation (GGA-PBE) of crystalline Rb2ZnI3 at its relaxed geometry.

Geometry as CIF:
```
data_Rb2ZnI3
_chemical_formula_sum 'Rb4 Zn2 I6'
_cell_length_a 7.062
_cell_length_b 8.543
_cell_length_c 10.332
_cell_angle_alpha 90.00
_cell_angle_beta 102.66
_cell_angle_gamma 90.00
_symmetry_space_group_name_H-M 'P 1 21/m 1'
_symmetry_Int_Tables_number 11
_symmetry_space_group_name_Hall '-P 2yb'
loop_
_atom_site_label
_atom_site_fract_x
_atom_site_fract_y
_atom_site_fract_z
_atom_site_occupancy
Rb1 0.163 0.250 0.462 1
Rb2 0.326 0.750 0.099 1
Zn1 0.418 0.750 0.728 1
I1 0.214 0.002 0.799 1
I2 0.310 0.750 0.450 1
```

Computed properties:
density of states at the Fermi level = 1.67 states/eV/f.u.
E_tot = -26.757 eV for the cell shown
uncorrected formation energy = -88.7 kJ per mole of atoms
magnetic moment = 0.96 μB per formula unit